First-principles (PBE-GGA) data for a relaxed KLa2AgO5 crystal, as listed in Alexandria via LeMat-Bulk.

Calculated values
The total energy is -116.6 eV for the cell shown. The calculation puts the spin magnetization at 0.00 μB per atom. The formation energy (no corrections) comes out at -2.19 eV per atom.

extended XYZ file:
```
18
Lattice="6.959 0.000 0.000 0.000 6.959 0.000 0.000 0.000 6.030" Properties=species:S:1:pos:R:3 pbc="T T T"
K 0.000 0.000 0.000
K 3.479 3.479 0.000
La 1.259 2.220 3.015
La 2.220 5.700 3.015
La 4.739 1.259 3.015
La 5.700 4.739 3.015
Ag 0.000 3.479 0.000
Ag 3.479 0.000 0.000
O 0.000 0.000 3.015
O 0.941 4.420 1.519
O 0.941 4.420 4.512
O 2.539 0.941 1.519
O 2.539 0.941 4.512
O 3.479 3.479 3.015
O 4.420 6.018 1.519
O 4.420 6.018 4.512
O 6.018 2.539 1.519
O 6.018 2.539 4.512
```